10
Lattice="6.0801 0.0000 0.0000 0.0000 6.0801 0.0000 0.0000 0.0000 3.3133" Properties=species:S:1:pos:R:3 comment="Be2Nb2Fe | Alexandria via LeMat-Bulk | GGA-PBEsol | optimized geometry" total_energy_ev_per_atom=-7.87 e_form_ev_per_atom=-0.15 sg=P4/mbm pbc="T T T"
Be 0.7487 2.2913 0.0000
Be 2.2913 5.3314 0.0000
Be 3.7888 0.7487 0.0000
Be 5.3314 3.7888 0.0000
Nb 1.0744 4.1144 1.6566
Nb 1.9657 1.0744 1.6566
Nb 4.1144 5.0057 1.6566
Nb 5.0057 1.9657 1.6566
Fe 0.0000 0.0000 0.0000
Fe 3.0401 3.0401 0.0000